1.
# La6PmEr5

Crystalline La6PmEr5 at its relaxed geometry (PBE, Alexandria).

Structure (extended XYZ):
```
12
Lattice="2.614 -7.836 0.000 2.614 7.836 0.000 0.000 0.000 9.954" Properties=species:S:1:pos:R:3 pbc="T T T"
La 0.000 0.000 2.471
La 0.000 0.000 7.483
La 2.614 2.615 2.468
La 2.614 2.615 7.486
La 2.614 -2.615 2.468
La 2.614 -2.615 7.486
Pm 2.614 0.000 4.977
Er 2.614 5.230 0.000
Er 2.614 5.203 4.977
Er 2.614 0.000 0.000
Er 2.614 -5.203 4.977
Er 2.614 -5.230 0.000
```

Properties
Its density of states at the Fermi level is 1.63 states/eV/atom. For the total moment, the calculation gives 0.00 Bohr magnetons per cell. The mass density comes out at 7.4 Mg/m³. As for the space-group type: Cmmm (65). The calculation puts the formation energy at 24.0 meV per atom.

2.
# LaPm2Er

Crystalline LaPm2Er at its relaxed geometry (PBE, Alexandria).

Structure (extended XYZ):
```
4
Lattice="6.068 -1.824 0.000 6.068 1.824 0.000 -1.085 0.000 6.158" Properties=species:S:1:pos:R:3 pbc="T T T"
La 0.000 0.000 0.000
Pm 2.200 0.000 4.608
Pm 8.851 0.000 1.549
Er 5.525 0.000 3.079
```

Properties
Its density of states at the Fermi level is 1.49 states/eV/atom. For the total moment, the calculation gives 0.02 Bohr magnetons per cell. The mass density comes out at 7.3 Mg/m³. As for the space-group type: C2/m (12). The calculation puts the formation energy at 21.9 meV per atom. For the energy above the most stable polymorph in this dataset, the calculation gives 2 meV/atom.

3.
# La3Pm4Er4

Crystalline La3Pm4Er4 at its relaxed geometry (PBE, Alexandria).

Structure (extended XYZ):
```
11
Lattice="-1.816 4.746 11.092 1.816 -4.746 11.092 1.816 4.746 -11.092" Properties=species:S:1:pos:R:3 pbc="T T T"
La 0.000 0.000 0.000
La 1.816 0.000 8.669
La 0.000 4.746 2.423
Pm 1.816 1.702 -3.276
Pm 1.816 1.702 3.276
Pm 0.000 3.045 7.815
Pm 0.000 3.045 14.368
Er 0.000 0.000 5.720
Er 1.816 3.022 0.000
Er 0.000 1.724 11.092
Er 0.000 0.000 16.464
```

Properties
Its density of states at the Fermi level is 1.39 states/eV/atom. For the total moment, the calculation gives 0.00 Bohr magnetons per cell. The mass density comes out at 7.2 Mg/m³. As for the space-group type: Immm (71). The calculation puts the formation energy at 136.4 meV per atom. For the energy above the most stable polymorph in this dataset, the calculation gives 0 meV/atom.

4.
# La5Pm12Er2

Crystalline La5Pm12Er2 at its relaxed geometry (PBE, Alexandria).

Structure (extended XYZ):
```
19
Lattice="9.106 -5.948 0.000 9.106 5.948 0.000 -1.412 0.000 6.129" Properties=species:S:1:pos:R:3 pbc="T T T"
La 0.000 0.000 0.000
La 3.830 0.000 0.330
La 5.013 0.000 3.971
La 11.786 0.000 2.158
La 12.970 0.000 5.799
Pm 5.098 2.930 1.847
Pm 1.505 0.000 3.045
Pm 6.007 2.909 5.409
Pm 10.793 2.909 0.720
Pm 7.853 0.000 1.387
Pm 11.702 2.930 4.282
Pm 5.098 -2.930 1.847
Pm 8.946 0.000 4.742
Pm 6.007 -2.909 5.409
Pm 10.793 -2.909 0.720
Pm 15.294 0.000 3.084
Pm 11.702 -2.930 4.282
Er 8.400 3.243 3.064
Er 8.400 -3.243 3.064
```

Properties
Its density of states at the Fermi level is 1.59 states/eV/atom. For the total moment, the calculation gives 0.00 Bohr magnetons per cell. The mass density comes out at 6.9 Mg/m³. As for the space-group type: C2/m (12). The calculation puts the formation energy at 97.5 meV per atom. For the energy above the most stable polymorph in this dataset, the calculation gives 0 meV/atom.